Record 1
Here is a geometry-optimized Ti2CuS4 structure from the Alexandria database. Energies are from PBE-GGA.

The value obtained for the mass density is 3.96 Mg/m³. The calculation puts the total energy at -43.5 eV/cell. The uncorrected formation energy is -1.015 eV/atom.

The space group is P2/m (No. 10) and the conventional cell measures 5.763, 3.392 and 6.169 Å, with angles of 90.00, 90.98 and 90.00 degrees. The distinct sites, in fractional coordinates, are Ti at (0.000, 0.000, 0.000), Ti at (0.500, 0.500, 0.500), Cu at (0.000, 0.500, 0.500), S at (0.234, 0.500, 0.174) and S at (0.267, 0.000, 0.676).


Record 2
Here is a geometry-optimized TaGaCo structure from the Alexandria database. Energies are from PBE-GGA.

The formation energy is -0.53 eV per formula unit. The value obtained for the mass density is 10.81 Mg/m³. The calculation puts the total energy at -90.0 eV/cell.

The space group is F-43m (No. 216) and the conventional cell measures 5.751, 5.751 and 5.751 Å, with angles of 90.00, 90.00 and 90.00 degrees. The distinct sites, in fractional coordinates, are Ta at (0.000, 0.000, 0.000), Ga at (0.000, 0.000, 0.500) and Co at (0.250, 0.250, 0.750).


Record 3
Here is a geometry-optimized SmHo2PuP4 structure from the Alexandria database. Energies are from PBE-GGA.

The formation energy is -11.80 eV per formula unit. The value obtained for the mass density is 7.69 Mg/m³. The calculation puts the total energy at -61.6 eV/cell.

The space group is P2/m (No. 10) and the conventional cell measures 6.944, 4.025 and 6.955 Å, with angles of 90.00, 109.51 and 90.00 degrees. The distinct sites, in fractional coordinates, are Sm at (0.000, 0.000, 0.000), Ho at (0.500, 0.000, 0.500), Ho at (0.500, 0.500, 0.000), Pu at (0.000, 0.500, 0.500), P at (0.250, 0.000, 0.745) and P at (0.254, 0.500, 0.256).


Record 4
Here is a geometry-optimized Ce2TaMnN5 structure from the Alexandria database. Energies are from PBE-GGA.

The value obtained for the mass density is 8.83 Mg/m³. The calculation puts the total energy at -338.5 eV/cell. The uncorrected formation energy is -1.123 eV/atom.

The space group is Cmc2_1 (No. 36) and the conventional cell measures 3.267, 13.020 and 10.363 Å, with angles of 90.00, 90.00 and 90.00 degrees. The distinct sites, in fractional coordinates, are Ce at (0.000, 0.105, 0.000), Ce at (0.000, 0.144, 0.613), Ta at (0.000, 0.209, 0.323), Mn at (0.000, 0.479, 0.771), N at (0.000, 0.049, 0.364), N at (0.000, 0.282, 0.961), N at (0.000, 0.322, 0.691), N at (0.000, 0.368, 0.309) and N at (0.000, 0.488, 0.094).


Record 5
Here is a geometry-optimized Tb2Zn2Te structure from the Alexandria database. Energies are from PBE-GGA.

The value obtained for the mass density is 7.83 Mg/m³. The calculation puts the total energy at -56.3 eV/cell. The uncorrected formation energy is -0.763 eV/atom.

The space group is R-3m (No. 166, hexagonal axes) and the conventional cell measures 4.3403, 4.3403 and 22.4845 Å, with angles of 90.00, 90.00 and 120.00 degrees. The distinct sites, in fractional coordinates, are Tb at (0.0000, 0.0000, 0.0828), Zn at (0.0000, 0.0000, 0.3316) and Te at (0.0000, 0.0000, 0.5000).


Record 6
Here is a geometry-optimized Mn3Se structure from the Alexandria database. Energies are from PBE-GGA.

The value obtained for the mass density is 8.46 Mg/m³. The calculation puts the total energy at -120.3 eV/cell. The uncorrected formation energy is 0.231 eV/atom.

The space group is Fm-3m (No. 225) and the conventional cell measures 5.764, 5.764 and 5.764 Å, with angles of 90.00, 90.00 and 90.00 degrees. The distinct sites, in fractional coordinates, are Mn at (0.000, 0.000, 0.000), Mn at (0.250, 0.250, 0.250) and Se at (0.000, 0.000, 0.500).